Record 1
# Tb2PmHoSe4 | Alexandria via LeMat-Bulk | PBE-GGA | optimized geometry
# M_tot ... 0.0 μB per cell
# DOS at the Fermi energy ... 0.588 states/eV per atom
# Raw total energy ... -46.7 eV/f.u.
# Calculated volume ... 197 Å³/cell
data_Tb2PmHoSe4
_chemical_formula_sum 'Tb2 Pm1 Ho1 Se4'
_cell_length_a 7.107
_cell_length_b 4.058
_cell_length_c 7.201
_cell_angle_alpha 90.00
_cell_angle_beta 108.82
_cell_angle_gamma 90.00
_space_group_name_H-M_alt 'P 1'
_space_group_IT_number 1
loop_
_space_group_symop_operation_xyz
'x,y,z'
loop_
_atom_site_label
_atom_site_type_symbol
_atom_site_fract_x
_atom_site_fract_y
_atom_site_fract_z
_atom_site_occupancy
Tb1 Tb 0.000 0.000 0.000 1
Tb2 Tb 0.000 0.500 0.500 1
Pm1 Pm 0.500 0.000 0.500 1
Ho1 Ho 0.500 0.500 0.000 1
Se1 Se 0.245 0.500 0.242 1
Se2 Se 0.250 0.000 0.756 1
Se3 Se 0.750 0.000 0.244 1
Se4 Se 0.755 0.500 0.758 1

Record 2
# Tb2PmHo3Se6 | Alexandria via LeMat-Bulk | PBE-GGA | optimized geometry
# M_tot ... 0.0 μB per cell
# DOS at the Fermi energy ... 0.458 states/eV per atom
# Raw total energy ... -69.8 eV/f.u.
# Calculated volume ... 291 Å³/cell
data_Tb2PmHo3Se6
_chemical_formula_sum 'Tb2 Pm1 Ho3 Se6'
_cell_length_a 7.079
_cell_length_b 7.079
_cell_length_c 7.119
_cell_angle_alpha 99.50
_cell_angle_beta 99.50
_cell_angle_gamma 120.31
_space_group_name_H-M_alt 'P 1'
_space_group_IT_number 1
loop_
_space_group_symop_operation_xyz
'x,y,z'
loop_
_atom_site_label
_atom_site_type_symbol
_atom_site_fract_x
_atom_site_fract_y
_atom_site_fract_z
_atom_site_occupancy
Tb1 Tb 0.166 0.834 0.000 1
Tb2 Tb 0.834 0.166 0.000 1
Pm1 Pm 0.500 0.500 0.000 1
Ho1 Ho 0.000 0.000 0.500 1
Ho2 Ho 0.338 0.662 0.500 1
Ho3 Ho 0.662 0.338 0.500 1
Se1 Se 0.075 0.414 0.742 1
Se2 Se 0.246 0.246 0.255 1
Se3 Se 0.414 0.075 0.742 1
Se4 Se 0.586 0.925 0.258 1
Se5 Se 0.754 0.754 0.745 1
Se6 Se 0.925 0.586 0.258 1

Record 3
# TbPm4HoSe8 | Alexandria via LeMat-Bulk | PBE-GGA | optimized geometry
# M_tot ... 0.0 μB per cell
# DOS at the Fermi energy ... 0.627 states/eV per atom
# Raw total energy ... -80.3 eV/f.u.
# Calculated volume ... 445 Å³/cell
data_TbPm4HoSe8
_chemical_formula_sum 'Tb1 Pm4 Ho1 Se8'
_cell_length_a 8.562
_cell_length_b 8.562
_cell_length_c 8.562
_cell_angle_alpha 60.10
_cell_angle_beta 60.10
_cell_angle_gamma 60.10
_space_group_name_H-M_alt 'P 1'
_space_group_IT_number 1
loop_
_space_group_symop_operation_xyz
'x,y,z'
loop_
_atom_site_label
_atom_site_type_symbol
_atom_site_fract_x
_atom_site_fract_y
_atom_site_fract_z
_atom_site_occupancy
Tb1 Tb 0.000 0.000 0.000 1
Pm1 Pm 0.000 0.000 0.504 1
Pm2 Pm 0.000 0.504 0.000 1
Pm3 Pm 0.377 0.377 0.377 1
Pm4 Pm 0.504 0.000 0.000 1
Ho1 Ho 0.625 0.625 0.625 1
Se1 Se 0.236 0.760 0.760 1
Se2 Se 0.239 0.239 0.777 1
Se3 Se 0.239 0.777 0.239 1
Se4 Se 0.244 0.244 0.244 1
Se5 Se 0.755 0.755 0.755 1
Se6 Se 0.760 0.236 0.760 1
Se7 Se 0.760 0.760 0.236 1
Se8 Se 0.777 0.239 0.239 1

Record 4
# Tb4PmHoSe8 | Alexandria via LeMat-Bulk | PBE-GGA | optimized geometry
# M_tot ... 0.0 μB per cell
# DOS at the Fermi energy ... 0.644 states/eV per atom
# Raw total energy ... -79.8 eV/f.u.
# Calculated volume ... 430 Å³/cell
data_Tb4PmHoSe8
_chemical_formula_sum 'Tb4 Pm1 Ho1 Se8'
_cell_length_a 8.467
_cell_length_b 8.467
_cell_length_c 8.467
_cell_angle_alpha 60.09
_cell_angle_beta 60.09
_cell_angle_gamma 60.09
_space_group_name_H-M_alt 'P 1'
_space_group_IT_number 1
loop_
_space_group_symop_operation_xyz
'x,y,z'
loop_
_atom_site_label
_atom_site_type_symbol
_atom_site_fract_x
_atom_site_fract_y
_atom_site_fract_z
_atom_site_occupancy
Tb1 Tb 0.000 0.000 0.000 1
Tb2 Tb 0.123 0.625 0.625 1
Tb3 Tb 0.625 0.123 0.625 1
Tb4 Tb 0.625 0.625 0.123 1
Pm1 Pm 0.249 0.249 0.249 1
Ho1 Ho 0.625 0.625 0.625 1
Se1 Se 0.384 0.384 0.384 1
Se2 Se 0.386 0.386 0.845 1
Se3 Se 0.386 0.845 0.386 1
Se4 Se 0.397 0.865 0.865 1
Se5 Se 0.845 0.386 0.386 1
Se6 Se 0.865 0.397 0.865 1
Se7 Se 0.865 0.865 0.397 1
Se8 Se 0.868 0.868 0.868 1

Record 5
# TbPm2HoSe6 | Alexandria via LeMat-Bulk | PBE-GGA | optimized geometry
# M_tot ... 0.0 μB per cell
# DOS at the Fermi energy ... 0.000 states/eV per atom
# Raw total energy ... -58.1 eV/f.u.
# Calculated volume ... 303 Å³/cell
data_TbPm2HoSe6
_chemical_formula_sum 'Tb1 Pm2 Ho1 Se6'
_cell_length_a 7.773
_cell_length_b 7.773
_cell_length_c 7.773
_cell_angle_alpha 56.19
_cell_angle_beta 56.19
_cell_angle_gamma 56.19
_space_group_name_H-M_alt 'P 1'
_space_group_IT_number 1
loop_
_space_group_symop_operation_xyz
'x,y,z'
loop_
_atom_site_label
_atom_site_type_symbol
_atom_site_fract_x
_atom_site_fract_y
_atom_site_fract_z
_atom_site_occupancy
Tb1 Tb 0.000 0.000 0.000 1
Pm1 Pm 0.300 0.300 0.300 1
Pm2 Pm 0.801 0.801 0.801 1
Ho1 Ho 0.499 0.499 0.499 1
Se1 Se 0.110 0.390 0.711 1
Se2 Se 0.214 0.888 0.608 1
Se3 Se 0.390 0.711 0.110 1
Se4 Se 0.608 0.214 0.888 1
Se5 Se 0.711 0.110 0.390 1
Se6 Se 0.888 0.608 0.214 1

Record 6
# Tb2PmHoSe6 | Alexandria via LeMat-Bulk | PBE-GGA | optimized geometry
# M_tot ... 0.0 μB per cell
# DOS at the Fermi energy ... 0.000 states/eV per atom
# Raw total energy ... -58.0 eV/f.u.
# Calculated volume ... 298 Å³/cell
data_Tb2PmHoSe6
_chemical_formula_sum 'Tb2 Pm1 Ho1 Se6'
_cell_length_a 7.752
_cell_length_b 7.752
_cell_length_c 7.752
_cell_angle_alpha 55.93
_cell_angle_beta 55.93
_cell_angle_gamma 55.93
_space_group_name_H-M_alt 'P 1'
_space_group_IT_number 1
loop_
_space_group_symop_operation_xyz
'x,y,z'
loop_
_atom_site_label
_atom_site_type_symbol
_atom_site_fract_x
_atom_site_fract_y
_atom_site_fract_z
_atom_site_occupancy
Tb1 Tb 0.000 0.000 0.000 1
Tb2 Tb 0.497 0.497 0.497 1
Pm1 Pm 0.198 0.198 0.198 1
Ho1 Ho 0.695 0.695 0.695 1
Se1 Se 0.094 0.405 0.790 1
Se2 Se 0.293 0.891 0.607 1
Se3 Se 0.405 0.790 0.094 1
Se4 Se 0.607 0.293 0.891 1
Se5 Se 0.790 0.094 0.405 1
Se6 Se 0.891 0.607 0.293 1

Record 7
# TbPm2HoSe4 | Alexandria via LeMat-Bulk | PBE-GGA | optimized geometry
# M_tot ... 0.0 μB per cell
# DOS at the Fermi energy ... 0.549 states/eV per atom
# Raw total energy ... -47.0 eV/f.u.
# Calculated volume ... 200 Å³/cell
data_TbPm2HoSe4
_chemical_formula_sum 'Tb1 Pm2 Ho1 Se4'
_cell_length_a 7.119
_cell_length_b 4.076
_cell_length_c 7.285
_cell_angle_alpha 90.00
_cell_angle_beta 108.74
_cell_angle_gamma 90.00
_space_group_name_H-M_alt 'P 1'
_space_group_IT_number 1
loop_
_space_group_symop_operation_xyz
'x,y,z'
loop_
_atom_site_label
_atom_site_type_symbol
_atom_site_fract_x
_atom_site_fract_y
_atom_site_fract_z
_atom_site_occupancy
Tb1 Tb 0.000 0.000 0.000 1
Pm1 Pm 0.000 0.500 0.500 1
Pm2 Pm 0.500 0.000 0.500 1
Ho1 Ho 0.500 0.500 0.000 1
Se1 Se 0.248 0.500 0.239 1
Se2 Se 0.256 0.000 0.762 1
Se3 Se 0.744 0.000 0.238 1
Se4 Se 0.752 0.500 0.761 1

Record 8
# Tb3PmHo2Se6 | Alexandria via LeMat-Bulk | PBE-GGA | optimized geometry
# M_tot ... 0.0 μB per cell
# DOS at the Fermi energy ... 0.441 states/eV per atom
# Raw total energy ... -69.9 eV/f.u.
# Calculated volume ... 292 Å³/cell
data_Tb3PmHo2Se6
_chemical_formula_sum 'Tb3 Pm1 Ho2 Se6'
_cell_length_a 7.106
_cell_length_b 7.106
_cell_length_c 7.104
_cell_angle_alpha 99.55
_cell_angle_beta 99.55
_cell_angle_gamma 120.28
_space_group_name_H-M_alt 'P 1'
_space_group_IT_number 1
loop_
_space_group_symop_operation_xyz
'x,y,z'
loop_
_atom_site_label
_atom_site_type_symbol
_atom_site_fract_x
_atom_site_fract_y
_atom_site_fract_z
_atom_site_occupancy
Tb1 Tb 0.000 0.000 0.000 1
Tb2 Tb 0.340 0.660 0.000 1
Tb3 Tb 0.660 0.340 0.000 1
Pm1 Pm 0.500 0.500 0.500 1
Ho1 Ho 0.166 0.834 0.500 1
Ho2 Ho 0.834 0.166 0.500 1
Se1 Se 0.074 0.416 0.248 1
Se2 Se 0.241 0.241 0.747 1
Se3 Se 0.416 0.074 0.248 1
Se4 Se 0.584 0.926 0.752 1
Se5 Se 0.759 0.759 0.253 1
Se6 Se 0.926 0.584 0.752 1

Record 9
# Tb4PmHo3Se8 | Alexandria via LeMat-Bulk | PBE-GGA | optimized geometry
# M_tot ... 0.0 μB per cell
# DOS at the Fermi energy ... 0.651 states/eV per atom
# Raw total energy ... -92.9 eV/f.u.
# Calculated volume ... 388 Å³/cell
data_Tb4PmHo3Se8
_chemical_formula_sum 'Tb4 Pm1 Ho3 Se8'
_cell_length_a 8.188
_cell_length_b 8.188
_cell_length_c 8.188
_cell_angle_alpha 60.01
_cell_angle_beta 60.01
_cell_angle_gamma 60.01
_space_group_name_H-M_alt 'P 1'
_space_group_IT_number 1
loop_
_space_group_symop_operation_xyz
'x,y,z'
loop_
_atom_site_label
_atom_site_type_symbol
_atom_site_fract_x
_atom_site_fract_y
_atom_site_fract_z
_atom_site_occupancy
Tb1 Tb 0.000 0.000 0.000 1
Tb2 Tb 0.000 0.500 0.500 1
Tb3 Tb 0.500 0.000 0.500 1
Tb4 Tb 0.500 0.500 0.000 1
Pm1 Pm 0.500 0.500 0.500 1
Ho1 Ho 0.000 0.000 0.500 1
Ho2 Ho 0.000 0.500 0.000 1
Ho3 Ho 0.500 0.000 0.000 1
Se1 Se 0.244 0.753 0.753 1
Se2 Se 0.247 0.247 0.756 1
Se3 Se 0.247 0.756 0.247 1
Se4 Se 0.249 0.249 0.249 1
Se5 Se 0.751 0.751 0.751 1
Se6 Se 0.753 0.244 0.753 1
Se7 Se 0.753 0.753 0.244 1
Se8 Se 0.756 0.247 0.247 1

Record 10
# TbPmHo2Se6 | Alexandria via LeMat-Bulk | PBE-GGA | optimized geometry
# M_tot ... 0.0 μB per cell
# DOS at the Fermi energy ... 0.000 states/eV per atom
# Raw total energy ... -57.9 eV/f.u.
# Calculated volume ... 296 Å³/cell
data_TbPmHo2Se6
_chemical_formula_sum 'Tb1 Pm1 Ho2 Se6'
_cell_length_a 7.729
_cell_length_b 7.729
_cell_length_c 7.729
_cell_angle_alpha 55.98
_cell_angle_beta 55.98
_cell_angle_gamma 55.98
_space_group_name_H-M_alt 'P 1'
_space_group_IT_number 1
loop_
_space_group_symop_operation_xyz
'x,y,z'
loop_
_atom_site_label
_atom_site_type_symbol
_atom_site_fract_x
_atom_site_fract_y
_atom_site_fract_z
_atom_site_occupancy
Tb1 Tb 0.000 0.000 0.000 1
Pm1 Pm 0.503 0.503 0.503 1
Ho1 Ho 0.305 0.305 0.305 1
Ho2 Ho 0.803 0.803 0.803 1
Se1 Se 0.090 0.406 0.703 1
Se2 Se 0.193 0.916 0.592 1
Se3 Se 0.406 0.703 0.090 1
Se4 Se 0.592 0.193 0.916 1
Se5 Se 0.703 0.090 0.406 1
Se6 Se 0.916 0.592 0.193 1

Record 11
# PmHoTeSe2 | Alexandria via LeMat-Bulk | PBE-GGA | optimized geometry
# M_tot ... 0.0 μB per cell
# DOS at the Fermi energy ... 0.080 states/eV per atom
# Raw total energy ... -26.2 eV/f.u.
# Calculated volume ... 154 Å³/cell
data_PmHoTeSe2
_chemical_formula_sum 'Pm1 Ho1 Te1 Se2'
_cell_length_a 7.826
_cell_length_b 7.826
_cell_length_c 7.826
_cell_angle_alpha 145.37
_cell_angle_beta 145.37
_cell_angle_gamma 49.79
_space_group_name_H-M_alt 'P 1'
_space_group_IT_number 1
loop_
_space_group_symop_operation_xyz
'x,y,z'
loop_
_atom_site_label
_atom_site_type_symbol
_atom_site_fract_x
_atom_site_fract_y
_atom_site_fract_z
_atom_site_occupancy
Pm1 Pm 0.000 0.000 0.000 1
Ho1 Ho 0.722 0.722 0.000 1
Te1 Te 0.366 0.366 0.000 1
Se1 Se 0.118 0.618 0.500 1
Se2 Se 0.618 0.118 0.500 1

Record 12
# PmHoTe2Se | Alexandria via LeMat-Bulk | PBE-GGA | optimized geometry
# M_tot ... 0.0 μB per cell
# DOS at the Fermi energy ... 0.353 states/eV per atom
# Raw total energy ... -26.1 eV/f.u.
# Calculated volume ... 295 Å³/cell
data_PmHoTe2Se
_chemical_formula_sum 'Pm2 Ho2 Te4 Se2'
_cell_length_a 4.345
_cell_length_b 4.345
_cell_length_c 15.609
_cell_angle_alpha 90.00
_cell_angle_beta 90.00
_cell_angle_gamma 90.00
_space_group_name_H-M_alt 'P 1'
_space_group_IT_number 1
loop_
_space_group_symop_operation_xyz
'x,y,z'
loop_
_atom_site_label
_atom_site_type_symbol
_atom_site_fract_x
_atom_site_fract_y
_atom_site_fract_z
_atom_site_occupancy
Pm1 Pm 0.250 0.250 0.131 1
Pm2 Pm 0.750 0.750 0.869 1
Ho1 Ho 0.250 0.250 0.590 1
Ho2 Ho 0.750 0.750 0.410 1
Te1 Te 0.250 0.250 0.391 1
Te2 Te 0.250 0.250 0.788 1
Te3 Te 0.750 0.750 0.212 1
Te4 Te 0.750 0.750 0.609 1
Se1 Se 0.250 0.750 0.000 1
Se2 Se 0.750 0.250 0.000 1